No. 1
A plane-wave DFT calculation with PBE-GGA was carried out for an optimized crystal structure of Ho4TlAuO.

The structure belongs to space group Cmcm (No. 63); the cell edges are 6.5980, 15.2805 and 6.6086 Å and the angles 90.00°, 90.00° and 90.00°. The distinct sites, in fractional coordinates, are Ho at (0.0000, 0.0620, 0.2500), Ho at (0.0000, 0.4190, 0.2500), Ho at (0.2500, 0.2500, 0.0000), Tl at (0.0000, 0.3856, 0.7500), Au at (0.0000, 0.1219, 0.7500) and O at (0.0000, 0.2583, 0.2500).

The total energy comes out at -5.30 eV/atom.


No. 2
A plane-wave DFT calculation with PBE-GGA was carried out for an optimized crystal structure of HoTmAu2O8.

The structure belongs to space group I-4m2 (No. 119); the cell edges are 5.2747, 5.2747 and 10.5202 Å and the angles 90.00°, 90.00° and 90.00°. The distinct sites, in fractional coordinates, are Ho at (0.0000, 0.0000, 0.0000), Tm at (0.0000, 0.5000, 0.7500), Au at (0.0000, 0.0000, 0.5000), Au at (0.0000, 0.5000, 0.2500) and O at (0.2362, 0.2481, 0.3743).

The total energy comes out at -5.74 eV/atom.


No. 3
A plane-wave DFT calculation with PBE-GGA was carried out for an optimized crystal structure of YHoAu2O8.

The structure belongs to space group I-4m2 (No. 119); the cell edges are 5.3093, 5.3093 and 10.5421 Å and the angles 90.00°, 90.00° and 90.00°. The distinct sites, in fractional coordinates, are Y at (0.0000, 0.0000, 0.0000), Ho at (0.0000, 0.5000, 0.7500), Au at (0.0000, 0.0000, 0.5000), Au at (0.0000, 0.5000, 0.2500) and O at (0.2337, 0.2487, 0.3746).

The total energy comes out at -5.88 eV/atom.


No. 4
A plane-wave DFT calculation with PBE-GGA was carried out for an optimized crystal structure of Ho5OsAu4.

The structure belongs to space group P4/mmm (No. 123); the cell edges are 3.5102, 3.5102 and 18.0461 Å and the angles 90.00°, 90.00° and 90.00°. The distinct sites, in fractional coordinates, are Ho at (0.0000, 0.0000, 0.0000), Ho at (0.0000, 0.0000, 0.2040), Ho at (0.0000, 0.0000, 0.4088), Os at (0.5000, 0.5000, 0.5000), Au at (0.5000, 0.5000, 0.1006) and Au at (0.5000, 0.5000, 0.3034).

For the energy of formation, the calculation gives -0.74 eV/atom. The total energy comes out at -5.46 eV/atom.


No. 5
A plane-wave DFT calculation with PBE-GGA was carried out for an optimized crystal structure of Ho8Os2Au.

The structure belongs to space group Cm (No. 8); the cell edges are 8.6129, 12.6191 and 5.6306 Å and the angles 90.00°, 105.76° and 90.00°. The distinct sites, in fractional coordinates, are Ho at (0.0000, 0.0000, 0.0000), Ho at (0.0790, 0.3672, 0.7891), Ho at (0.1769, 0.1323, 0.6035), Ho at (0.2481, 0.5000, 0.3929), Ho at (0.3769, 0.2337, 0.1982), Os at (0.3774, 0.3127, 0.6960) and Au at (0.3725, 0.0000, 0.2943).

For the energy of formation, the calculation gives -0.27 eV/atom. The total energy comes out at -5.94 eV/atom.


No. 6
A plane-wave DFT calculation with PBE-GGA was carried out for an optimized crystal structure of Ho4OsAu.

The structure belongs to space group C2/m (No. 12); the cell edges are 6.8446, 6.8446 and 6.9241 Å and the angles 90.00°, 90.07° and 90.00°. The distinct sites, in fractional coordinates, are Ho at (0.2497, 0.2501, 0.2374), Os at (0.0000, 0.0000, 0.0000) and Au at (0.0000, 0.5000, 0.5000).

For the energy of formation, the calculation gives -0.39 eV/atom. The total energy comes out at -5.86 eV/atom.


No. 7
A plane-wave DFT calculation with PBE-GGA was carried out for an optimized crystal structure of Ho5OsAu2.

The structure belongs to space group Pbam (No. 55); the cell edges are 7.1347, 11.7980 and 4.7206 Å and the angles 90.00°, 90.00° and 90.00°. The distinct sites, in fractional coordinates, are Ho at (0.0000, 0.0000, 0.0000), Ho at (0.1527, 0.2923, 0.0000), Ho at (0.1769, 0.5864, 0.5000), Os at (0.0000, 0.5000, 0.0000) and Au at (0.0700, 0.8372, 0.5000).

For the energy of formation, the calculation gives -0.57 eV/atom. The total energy comes out at -5.65 eV/atom.


No. 8
A plane-wave DFT calculation with PBE-GGA was carried out for an optimized crystal structure of Ho2OsAu.

The structure belongs to space group P4/mmm (No. 123); the cell edges are 3.4051, 3.4051 and 7.3467 Å and the angles 90.00°, 90.00° and 90.00°. The distinct sites, in fractional coordinates, are Ho at (0.0000, 0.0000, 0.2276), Os at (0.5000, 0.5000, 0.0000) and Au at (0.5000, 0.5000, 0.5000).

For the energy of formation, the calculation gives -0.57 eV/atom. The total energy comes out at -6.49 eV/atom.